A) AcTb7Er3: relaxed, PBE.

The structure in POSCAR format:
```
AcTb7Er3
1.0
4.751 -0.080 -2.971
-1.033 9.592 -1.906
-1.058 -0.619 8.892
Ac Tb Er
1 7 3
direct
0.500 0.500 0.500
0.934 0.834 0.934
0.854 0.711 0.354
0.665 0.355 0.165
0.335 0.645 0.835
0.500 0.000 0.500
0.146 0.289 0.646
0.066 0.166 0.066
0.274 0.993 0.774
0.000 0.500 0.000
0.726 0.007 0.226
```

=====

B) AcTb7Er3: relaxed, PBE.

The structure in POSCAR format:
```
AcTb7Er3
1.0
-2.607 0.580 8.229
6.412 -2.183 2.185
-1.281 6.943 -0.895
Ac Tb Er
1 7 3
direct
0.446 0.333 0.667
0.112 0.167 0.833
0.112 0.167 0.334
0.118 0.667 0.333
0.450 0.832 0.168
0.450 0.336 0.168
0.450 0.832 0.664
0.112 0.666 0.833
0.788 0.502 0.498
0.788 0.502 0.004
0.788 0.996 0.498
```

=====

The structure with the least stability is B).

=====

A) AcTb8Er6: relaxed, PBE.

The structure in POSCAR format:
```
AcTb8Er6
1.0
-6.035 6.645 0.784
-5.486 1.938 -6.880
-8.501 -1.660 0.411
Ac Tb Er
1 8 6
direct
0.000 0.000 0.000
0.255 0.282 0.575
0.718 0.112 0.425
0.112 0.745 0.425
0.577 0.577 0.268
0.423 0.423 0.732
0.888 0.255 0.575
0.282 0.888 0.575
0.745 0.718 0.425
0.468 0.900 0.877
0.100 0.246 0.123
0.246 0.532 0.123
0.754 0.468 0.877
0.900 0.754 0.877
0.532 0.100 0.123
```

=====

B) AcTb8Er6: relaxed, PBE.

The structure in POSCAR format:
```
AcTb8Er6
1.0
-4.618 -6.312 -2.496
4.972 -5.639 -3.300
0.884 -6.098 5.426
Ac Tb Er
1 8 6
direct
0.000 0.000 0.000
0.239 0.239 0.239
0.761 0.761 0.761
0.056 0.388 0.858
0.858 0.056 0.388
0.388 0.858 0.056
0.944 0.612 0.142
0.142 0.944 0.612
0.612 0.142 0.944
0.616 0.433 0.174
0.174 0.616 0.433
0.433 0.174 0.616
0.384 0.567 0.826
0.826 0.384 0.567
0.567 0.826 0.384
```

=====

The structure with the least stability is B).

=====

A) AcTb4Er: relaxed, PBE.

The structure in POSCAR format:
```
AcTb4Er
1.0
-4.671 7.205 2.993
-5.338 -3.437 -2.137
4.440 -4.753 5.597
Ac Tb Er
2 8 2
direct
0.426 0.676 0.351
0.574 0.324 0.649
0.239 0.992 0.657
0.982 0.735 0.131
0.082 0.335 0.343
0.350 0.604 0.869
0.761 0.008 0.343
0.918 0.665 0.657
0.018 0.265 0.869
0.650 0.396 0.131
0.692 0.942 0.884
0.308 0.058 0.116
```

=====

B) AcTb4Er: relaxed, PBE.

The structure in POSCAR format:
```
AcTb4Er
1.0
8.864 0.359 -1.581
-0.793 6.639 -2.940
-0.180 -0.827 7.254
Ac Tb Er
2 8 2
direct
0.665 0.360 0.719
0.335 0.640 0.281
0.009 0.249 0.499
0.671 0.357 0.222
0.000 0.243 0.000
0.329 0.135 0.778
0.991 0.751 0.501
0.329 0.643 0.778
0.000 0.757 0.000
0.671 0.865 0.222
0.328 0.136 0.272
0.672 0.864 0.728
```

=====

The structure with the least stability is A).